A plane-wave DFT calculation with PBE-GGA was carried out for a relaxed structure of ScBeAu2.

The value obtained for the total energy is -18.110 eV/cell. The density of states at the Fermi level is 1.6 states/eV per cell. The formation enthalpy at 0 K is -0.374 eV per atom.

Unit cell a=6.1234 b=6.1234 c=6.1234 alpha=36.17 beta=36.17 gamma=36.17
Closest atoms and distances in Å follow each position.
Fractional coordinates of all 4 atoms:
Au1 0.9772 0.9772 0.9772  3 Be 2.43
Au2 0.5228 0.5228 0.5228  3 Be 2.43
Be1 0.2500 0.2500 0.2500  6 Au 2.43
Sc1 0.7500 0.7500 0.7500  6 Au 2.85

***

A plane-wave DFT calculation with PBE-GGA was carried out for a relaxed structure of ScBeAu.

The value obtained for the total energy is -12.569 eV/cell. The density of states at the Fermi level is 2.0 states/eV per cell. The formation enthalpy at 0 K is 0.255 eV per atom.

Unit cell a=4.4066 b=4.4066 c=4.4066 alpha=60.00 beta=60.00 gamma=60.00
Closest atoms and distances in Å follow each position.
Fractional coordinates of all 3 atoms:
Be1 0.5000 0.5000 0.5000  4 Sc 2.70
Au1 0.0000 0.0000 0.0000  4 Sc 2.70
Sc1 0.7500 0.7500 0.7500  4 Be 2.70, 4 Au 2.70

***

A plane-wave DFT calculation with PBE-GGA was carried out for a relaxed structure of ScBeAu.

The value obtained for the total energy is -13.939 eV/cell. The density of states at the Fermi level is 5.4 states/eV per cell. The formation enthalpy at 0 K is -0.201 eV per atom.

Unit cell a=4.1893 b=4.1893 c=4.1893 alpha=60.00 beta=60.00 gamma=60.00
Closest atoms and distances in Å follow each position.
Fractional coordinates of all 3 atoms:
Sc1 0.0000 0.0000 0.0000  4 Be 2.57
Be1 0.7500 0.7500 0.7500  4 Sc 2.57, 4 Au 2.57
Au1 0.5000 0.5000 0.5000  4 Be 2.57

***

A plane-wave DFT calculation with PBE-GGA was carried out for a relaxed structure of ScBeAu2.

The value obtained for the total energy is -17.999 eV/cell. The density of states at the Fermi level is 2.7 states/eV per cell. The formation enthalpy at 0 K is -0.347 eV per atom.

Unit cell a=3.3511 b=3.3511 c=6.1023 alpha=90.00 beta=90.00 gamma=90.00
Closest atoms and distances in Å follow each position.
Fractional coordinates of all 4 atoms:
Au1 0.0000 0.0000 0.0004  1 Be 2.63, 4 Sc 2.79
Au2 0.5000 0.5000 0.3096  4 Be 2.48, 1 Sc 2.74
Sc1 0.5000 0.5000 0.7592  5 Au 2.74-2.79
Be1 0.0000 0.0000 0.4308  5 Au 2.48-2.63

***

A plane-wave DFT calculation with PBE-GGA was carried out for a relaxed structure of ScBe2Au8.

The value obtained for the total energy is -42.959 eV/cell. The density of states at the Fermi level is 2.4 states/eV per cell. The formation enthalpy at 0 K is -0.269 eV per atom.

Unit cell a=4.4198 b=6.8664 c=6.8664 alpha=110.95 beta=99.86 gamma=99.86
Closest atoms and distances in Å follow each position.
Fractional coordinates of all 11 atoms:
Au1 0.9126 0.6752 0.9369  2 Be 2.58-2.60, 2 Au 2.87-2.88
Au2 0.0874 0.3248 0.0631  2 Be 2.58-2.60, 2 Au 2.87-2.88
Au3 0.3187 0.6215 0.6215  2 Be 2.48
Au4 0.0874 0.0631 0.3248  2 Be 2.58-2.60, 2 Au 2.87-2.88
Au5 0.5000 0.2494 0.7506  2 Be 2.36
Au6 0.5000 0.7506 0.2494  2 Be 2.36
Be1 0.0000 0.6780 0.3220  8 Au 2.36-2.60
Au7 0.6813 0.3785 0.3785  2 Be 2.48
Sc1 0.5000 0.0000 0.0000  12 Au 2.81-3.08
Be2 0.0000 0.3220 0.6780  8 Au 2.36-2.60
Au8 0.9126 0.9369 0.6752  2 Be 2.58-2.60, 2 Au 2.87-2.88

***

A plane-wave DFT calculation with PBE-GGA was carried out for a relaxed structure of ScBe3Au.

The value obtained for the total energy is -11.689 eV/cell. The density of states at the Fermi level is 4.2 states/eV per cell. The formation enthalpy at 0 K is 1.820 eV per atom.

Unit cell a=4.6465 b=4.6465 c=4.6465 alpha=90.00 beta=90.00 gamma=90.00
Closest atoms and distances in Å follow each position.
Fractional coordinates of all 5 atoms:
Au1 0.5000 0.5000 0.5000  12 Be 3.29
Be1 0.0000 0.0000 0.5000  2 Sc 2.32
Be2 0.5000 0.0000 0.0000  2 Sc 2.32
Be3 0.0000 0.5000 0.0000  2 Sc 2.32
Sc1 0.0000 0.0000 0.0000  6 Be 2.32

***

> What is the formula in the second record?

ScBeAu

***

> Which of these has the highest formation enthalpy at 0 K?

ScBe3Au

***

> What is the formation enthalpy at 0 K in the first record?

-0.374 eV per atom